A plane-wave DFT calculation with PBE was carried out for an optimized crystal structure of Ho6ZnTe3S2.

Properties
- VASP energy (eV/atom) = -5.225
- formation energy from raw total energies (eV per formula unit) = -16.27
- DOS at the Fermi energy (states/eV per cell) = 4.47

Cell lengths 7.101, 7.101, 7.379 Å; angles 99.19, 99.19, 119.84 degrees
Fractional coordinates of all 12 atoms:
Ho  0.262  0.262  0.786
Zn  0.000  0.000  0.000
Ho  0.405  0.071  0.215
Te  0.167  0.833  0.500
S  0.334  0.666  0.000
Ho  0.738  0.738  0.214
Ho  0.071  0.405  0.215
S  0.666  0.334  0.000
Ho  0.929  0.595  0.785
Te  0.833  0.167  0.500
Te  0.500  0.500  0.500
Ho  0.595  0.929  0.785

A plane-wave DFT calculation with PBE was carried out for an optimized crystal structure of Pm2BiSbO8.

Properties
- VASP energy (eV/atom) = -6.811
- formation energy from raw total energies (eV per formula unit) = -24.56

Cell lengths 5.153, 5.154, 6.845 Å; angles 89.94, 89.93, 92.73 degrees
Fractional coordinates of all 12 atoms:
O  0.166  0.809  0.236
O  0.191  0.833  0.764
Pm  0.517  0.517  0.244
O  0.809  0.167  0.236
O  0.723  0.723  0.984
O  0.277  0.277  0.016
Sb  0.000  0.000  0.000
Pm  0.483  0.483  0.756
O  0.834  0.191  0.764
Bi  0.000  0.000  0.500
O  0.292  0.292  0.486
O  0.708  0.708  0.514

A plane-wave DFT calculation with PBE was carried out for an optimized crystal structure of La5TbIn2.

Properties
- VASP energy (eV/atom) = -4.527
- DOS at the Fermi energy (states/eV per cell) = 18.86
- energy of formation from the pure elements (eV/atom) = -0.18
- offset from the most stable computed form (meV/atom) = 13

Cell lengths 5.279, 6.704, 16.559 Å; angles 90.00, 90.00, 113.19 degrees
Fractional coordinates of all 16 atoms:
La  0.035  0.069  0.396
La  0.965  0.931  0.896
La  0.645  0.291  0.973
La  0.965  0.931  0.604
La  0.035  0.069  0.104
In  0.227  0.454  0.851
La  0.532  0.064  0.250
La  0.355  0.709  0.473
Tb  0.257  0.513  0.250
In  0.773  0.546  0.149
Tb  0.743  0.487  0.750
La  0.645  0.291  0.527
In  0.227  0.454  0.649
La  0.468  0.936  0.750
In  0.773  0.546  0.351
La  0.355  0.709  0.027

In Mg/m³, the ρ values for the records above are, in order, 8.15 6.85 6.68.
In μB per atom, the total magnetization values for the records above are, in order, 0.00 0.00 0.00.